Density functional theory data (GGA-PBE) for a relaxed Sr3U3As8Pd crystal.

Lattice parameters (Å, degrees): 8.6912 8.6912 8.6912 56.07 56.07 56.07
Last column: nearest neighbours and their distance in Å.
Element x y z (fractional)
Sr1 0.0000 0.5000 0.5000  6 As 3.12-3.17
Sr2 0.5000 0.0000 0.5000  6 As 3.12-3.17
Sr3 0.5000 0.5000 0.0000  6 As 3.12-3.17
U1 0.0000 0.0000 0.5000  6 As 2.83-2.85
U2 0.0000 0.5000 0.0000  6 As 2.83-2.85
U3 0.5000 0.0000 0.0000  6 As 2.83-2.85
As1 0.2398 0.2398 0.2398  3 U 2.85, 3 Sr 3.12
As2 0.2469 0.7287 0.7287  1 Pd 2.72, 2 U 2.83
As3 0.2713 0.2713 0.7531  1 Pd 2.72, 2 U 2.83
As4 0.2713 0.7531 0.2713  1 Pd 2.72, 2 U 2.83
As5 0.7287 0.2469 0.7287  1 Pd 2.72, 2 U 2.83
As6 0.7287 0.7287 0.2469  1 Pd 2.72, 2 U 2.83
As7 0.7531 0.2713 0.2713  1 Pd 2.72, 2 U 2.83
As8 0.7602 0.7602 0.7602  3 U 2.85, 3 Sr 3.12
Pd1 0.5000 0.5000 0.5000  6 As 2.72

Results
- ρ: 6.62 g/cm³
- Calculated total energy: -6.0909 eV per atom
- Total magnetic moment: 3.8 μB per formula unit
- Calculated formation energy: -971 kJ/mol of formula units